[1]
# LiAcTl5

A relaxed LiAcTl5 crystal (GGA-PBE, Alexandria).

Properties
D(E_F): 0.79 states/eV/atom
Relative energy among the computed polymorphs: 0.45 eV per formula unit
DFT formation energy: -0.14 eV per atom
Magnetization: 0.00 μB per cell

abc: 4.909 4.909 8.499
angles: 90.00 90.00 90.00
Sites, in units of the cell vectors:
Li1 0.000 0.000 0.000
Ac1 0.500 0.500 0.500
Tl1 0.000 0.000 0.500
Tl2 0.000 0.500 0.192
Tl3 0.000 0.500 0.808
Tl4 0.500 0.000 0.192
Tl5 0.500 0.000 0.808



[2]
# Li15Ac6Tl8

A relaxed Li15Ac6Tl8 crystal (GGA-PBE, Alexandria).

Properties
D(E_F): 0.67 states/eV/atom
DFT formation energy: -0.19 eV per atom
Magnetization: 0.03 μB per cell

abc: 10.169 10.169 10.169
angles: 60.00 60.00 60.00
Sites, in units of the cell vectors:
Li1 0.000 0.000 0.000
Li2 0.000 0.000 0.500
Li3 0.000 0.500 0.000
Li4 0.000 0.500 0.500
Li5 0.030 0.323 0.323
Li6 0.323 0.030 0.323
Li7 0.323 0.323 0.030
Li8 0.323 0.323 0.323
Li9 0.500 0.000 0.000
Li10 0.500 0.000 0.500
Li11 0.500 0.500 0.000
Li12 0.677 0.677 0.677
Li13 0.677 0.677 0.970
Li14 0.677 0.970 0.677
Li15 0.970 0.677 0.677
Ac1 0.289 0.289 0.711
Ac2 0.289 0.711 0.289
Ac3 0.289 0.711 0.711
Ac4 0.711 0.289 0.289
Ac5 0.711 0.289 0.711
Ac6 0.711 0.711 0.289
Tl1 0.127 0.127 0.127
Tl2 0.127 0.127 0.619
Tl3 0.127 0.619 0.127
Tl4 0.381 0.873 0.873
Tl5 0.619 0.127 0.127
Tl6 0.873 0.381 0.873
Tl7 0.873 0.873 0.381
Tl8 0.873 0.873 0.873



[3]
# LiAcTl2

A relaxed LiAcTl2 crystal (GGA-PBE, Alexandria).

Properties
D(E_F): 0.68 states/eV/atom
Relative energy among the computed polymorphs: 0.09 eV per formula unit
DFT formation energy: -0.31 eV per atom
Magnetization: 0.00 μB per cell

abc: 8.730 7.767 6.693
angles: 90.00 90.00 90.00
Sites, in units of the cell vectors:
Li1 0.107 0.250 0.139
Li2 0.393 0.750 0.639
Li3 0.607 0.250 0.361
Li4 0.893 0.750 0.861
Ac1 0.029 0.750 0.367
Ac2 0.471 0.250 0.867
Ac3 0.529 0.750 0.133
Ac4 0.971 0.250 0.633
Tl1 0.182 0.550 0.899
Tl2 0.182 0.950 0.899
Tl3 0.318 0.050 0.399
Tl4 0.318 0.450 0.399
Tl5 0.682 0.550 0.601
Tl6 0.682 0.950 0.601
Tl7 0.818 0.050 0.101
Tl8 0.818 0.450 0.101



[4]
# LiAc2Tl2

A relaxed LiAc2Tl2 crystal (GGA-PBE, Alexandria).

Properties
D(E_F): 1.03 states/eV/atom
Relative energy among the computed polymorphs: 0.00 eV per formula unit
DFT formation energy: -0.31 eV per atom
Magnetization: 0.00 μB per cell

abc: 6.460 6.460 12.238
angles: 116.15 116.15 46.01
Sites, in units of the cell vectors:
Li1 0.222 0.222 0.363
Li2 0.778 0.778 0.637
Ac1 0.318 0.318 0.897
Ac2 0.489 0.489 0.666
Ac3 0.511 0.511 0.334
Ac4 0.682 0.682 0.103
Tl1 0.019 0.019 0.877
Tl2 0.150 0.150 0.574
Tl3 0.850 0.850 0.426
Tl4 0.981 0.981 0.123